No. 1
Entry from the Alexandria database: a relaxed GeBrN2F crystal (GGA-PBE).

Lattice parameters (Å, degrees): 4.020 4.020 4.286 90.00 90.00 90.00
Atoms (fractional coordinates):
Ge1 0.000 0.000 0.000
Br1 0.500 0.500 0.500
N1 0.000 0.500 0.500
N2 0.500 0.000 0.500
F1 0.500 0.500 0.000

M_tot	0.00	μB per formula unit
polymorph energy (0 for the lowest one)	746	meV per atom
Fermi-level density of states	1.93	states/eV per cell
formation energy without anion corrections	1.5041	eV per atom
electronic total energy	-3.4584	eV/atom

No. 2
Entry from the Alexandria database: a relaxed GeSbIN2 crystal (GGA-PBE).

Lattice parameters (Å, degrees): 4.144 4.144 6.447 90.00 90.00 90.00
Atoms (fractional coordinates):
Ge1 0.000 0.000 0.000
Sb1 0.500 0.500 0.500
I1 0.500 0.500 0.000
N1 0.000 0.500 0.500
N2 0.500 0.000 0.500

M_tot	0.44	μB per formula unit
polymorph energy (0 for the lowest one)	0	meV per atom
Fermi-level density of states	5.13	states/eV per cell
formation energy without anion corrections	1.3872	eV per atom
electronic total energy	-4.0009	eV/atom

No. 3
Entry from the Alexandria database: a relaxed PmTh4Sc5 crystal (GGA-PBE).

Lattice parameters (Å, degrees): 3.472 3.472 23.742 90.00 90.00 90.00
Atoms (fractional coordinates):
Pm1 0.000 0.000 0.000
Th1 0.000 0.000 0.201
Th2 0.000 0.000 0.400
Th3 0.000 0.000 0.600
Th4 0.000 0.000 0.799
Sc1 0.500 0.500 0.103
Sc2 0.500 0.500 0.301
Sc3 0.500 0.500 0.500
Sc4 0.500 0.500 0.699
Sc5 0.500 0.500 0.897

M_tot	0.00	μB per formula unit
Fermi-level density of states	12.95	states/eV per cell
electronic total energy	-6.5794	eV/atom
formation energy	0.029	eV per atom

Please write out number 3 again, unchanged.
Entry from the Alexandria database: a relaxed PmTh4Sc5 crystal (GGA-PBE).

Lattice parameters (Å, degrees): 3.472 3.472 23.742 90.00 90.00 90.00
Atoms (fractional coordinates):
Pm1 0.000 0.000 0.000
Th1 0.000 0.000 0.201
Th2 0.000 0.000 0.400
Th3 0.000 0.000 0.600
Th4 0.000 0.000 0.799
Sc1 0.500 0.500 0.103
Sc2 0.500 0.500 0.301
Sc3 0.500 0.500 0.500
Sc4 0.500 0.500 0.699
Sc5 0.500 0.500 0.897

M_tot	0.00	μB per formula unit
Fermi-level density of states	12.95	states/eV per cell
electronic total energy	-6.5794	eV/atom
formation energy	0.029	eV per atom